An optimized crystal structure of AlVTc2F. Source: the Alexandria database, functional PBE with a Hubbard U.

As for the density of states at the Fermi level: 7.9 states/eV per cell. The total DFT energy (no corrections) is -0.226 Ha/atom.

abc: 4.2445 4.2445 3.8977
angles: 90.00 90.00 90.00
Closest atoms and distances in Å follow each position.
Space group P4/mmm (No. 123)
Unique sites:
Al: 0.0000 0.0000 0.0000  8 Tc 2.88, 4 V 3.00
V: 0.5000 0.5000 0.0000  2 F 1.95
Tc: 0.0000 0.5000 0.5000  2 F 2.12
F: 0.5000 0.5000 0.5000  2 V 1.95, 4 Tc 2.12